First-principles (PBE) data for a geometry-optimized MnVInP2 structure, as listed in Alexandria.

Structure (CIF):
```
data_MnVInP2
_symmetry_space_group_name_H-M 'P 4/m m m'
_symmetry_Int_Tables_number 123
_symmetry_space_group_name_Hall '-P 4 2'
_cell_length_a 4.338
_cell_length_b 4.338
_cell_length_c 5.026
_cell_angle_alpha 90.00
_cell_angle_beta 90.00
_cell_angle_gamma 90.00
loop_
_atom_site_label
_atom_site_type_symbol
_atom_site_fract_x
_atom_site_fract_y
_atom_site_fract_z
Mn1 Mn 0.000 0.000 0.000
V1 V 0.500 0.500 0.500
In1 In 0.000 0.000 0.500
P1 P 0.000 0.500 0.000
```

Values from the calculation:
As for the size of the total moment: 4.7 μB/f.u. As for the density: 5.0 g/cm³. The value obtained for the formation energy is 583 meV per atom.